The following is a PBE with a Hubbard U calculation of crystalline BaInFe2O at its relaxed geometry, from Alexandria. Values from VASP.

Summary:
E_tot	-4.0669	eV per atom
V	23.80	A^3/atom
density of states at the Fermi level	2.9	states/eV/cell
SG	P4/mmm

Cell and atoms, written as Quantum ESPRESSO input:
```
&SYSTEM
  ibrav = 0, nat = 5, ntyp = 4
/
ATOMIC_SPECIES
Fe 55.84 Fe.upf
Ba 137.33 Ba.upf
O 16.00 O.upf
In 114.82 In.upf
CELL_PARAMETERS angstrom
-1.857 3.980 -1.273
0.730 -1.408 -5.466
-4.137 -1.947 -0.051
ATOMIC_POSITIONS crystal
Fe 0.000 0.000 0.500
Fe 0.500 0.000 0.000
Ba 0.500 0.500 0.500
O 0.000 0.000 0.000
In 0.000 0.500 0.000
```